An optimized crystal structure of NdGa4CuNi2. Source: Alexandria, functional GGA-PBE.

Results
space-group type = R-3m (166)
volume = 130 Å³ per cell
formation energy from the elements = -401 meV/atom
magnetic moment = 0.0 Bohr magnetons per cell
total energy = -35.740 eV for the cell shown

Geometry as POSCAR:
```
NdGa4CuNi2
1.0
2.0682 1.1941 8.8041
-2.0682 1.1941 8.8041
0.0000 -2.3881 8.8041
Nd Ga Cu Ni
1 4 1 2
Cartesian
0.0000 0.0000 0.0000
0.0000 0.0000 3.4123
0.0000 0.0000 10.6718
0.0000 0.0000 15.7405
0.0000 0.0000 23.0000
0.0000 0.0000 13.2062
0.0000 0.0000 6.0874
0.0000 0.0000 20.3249
```